1.
# TaMnCo, optimized geometry, DFT PBE-GGA
# - energy above the most stable polymorph in this dataset (meV/atom) = 300
# - total magnetic moment (μB per formula unit) = 0.000
# - raw total energy (Ha/atom) = -0.3415
# - formation energy (eV per atom) = 0.083
# - space-group type = Fmm2
# - DOS at the Fermi energy (states/eV per cell) = 2.66
data_TaMnCo
_chemical_formula_sum 'Ta1 Mn1 Co1'
_cell_length_a 5.933
_cell_length_b 5.893
_cell_length_c 2.655
_cell_angle_alpha 77.88
_cell_angle_beta 76.17
_cell_angle_gamma 25.94
_symmetry_space_group_name_H-M 'P 1'
_symmetry_Int_Tables_number 1
loop_
_symmetry_equiv_pos_as_xyz
'x,y,z'
loop_
_atom_site_label
_atom_site_type_symbol
_atom_site_fract_x
_atom_site_fract_y
_atom_site_fract_z
Ta1 Ta 0.000 0.000 0.000
Mn1 Mn 0.313 0.313 0.687
Co1 Co 0.683 0.683 0.317

---

2.
# HoPt2, optimized geometry, DFT PBE-GGA
# - total magnetic moment (μB per formula unit) = 0.000
# - raw total energy (Ha/atom) = -0.2440
# - formation energy (eV per atom) = -1.087
# - space-group type = C2/m
# - DOS at the Fermi energy (states/eV per cell) = 2.12
data_HoPt2
_chemical_formula_sum 'Ho2 Pt4'
_cell_length_a 5.146
_cell_length_b 5.146
_cell_length_c 5.778
_cell_angle_alpha 104.28
_cell_angle_beta 104.28
_cell_angle_gamma 49.45
_symmetry_space_group_name_H-M 'P 1'
_symmetry_Int_Tables_number 1
loop_
_symmetry_equiv_pos_as_xyz
'x,y,z'
loop_
_atom_site_label
_atom_site_type_symbol
_atom_site_fract_x
_atom_site_fract_y
_atom_site_fract_z
Ho1 Ho 0.143 0.143 0.300
Ho2 Ho 0.857 0.857 0.700
Pt1 Pt 0.178 0.178 0.819
Pt2 Pt 0.500 0.500 0.000
Pt3 Pt 0.500 0.500 0.500
Pt4 Pt 0.822 0.822 0.181

---

3.
# Ba4IrPd, optimized geometry, DFT PBE-GGA
# - total magnetic moment (μB per formula unit) = 0.000
# - raw total energy (Ha/atom) = -0.1421
# - formation energy (eV per atom) = -0.243
# - space-group type = C2/c
# - DOS at the Fermi energy (states/eV per cell) = 7.57
data_Ba4IrPd
_chemical_formula_sum 'Ba8 Ir2 Pd2'
_cell_length_a 10.225
_cell_length_b 10.225
_cell_length_c 7.885
_cell_angle_alpha 105.46
_cell_angle_beta 105.46
_cell_angle_gamma 125.94
_symmetry_space_group_name_H-M 'P 1'
_symmetry_Int_Tables_number 1
loop_
_symmetry_equiv_pos_as_xyz
'x,y,z'
loop_
_atom_site_label
_atom_site_type_symbol
_atom_site_fract_x
_atom_site_fract_y
_atom_site_fract_z
Ba1 Ba 0.053 0.419 0.245
Ba2 Ba 0.191 0.290 0.739
Ba3 Ba 0.290 0.191 0.239
Ba4 Ba 0.419 0.053 0.745
Ba5 Ba 0.581 0.947 0.255
Ba6 Ba 0.710 0.809 0.761
Ba7 Ba 0.809 0.710 0.261
Ba8 Ba 0.947 0.581 0.755
Ir1 Ir 0.076 0.924 0.750
Ir2 Ir 0.924 0.076 0.250
Pd1 Pd 0.425 0.575 0.250
Pd2 Pd 0.575 0.425 0.750